Entry 1:
PBE Zr6ZnOs, relaxed; energy relative to the elements = -190 meV/atom; total moment = 0.00 Bohr magnetons per cell; uncorrected energy = -65.31 eV for the cell shown
1.0
7.770 1.696 -2.382
5.473 5.752 -2.428
2.283 1.336 3.838
Zr Zn Os
6 1 1
direct
0.250 0.250 0.750 Zr
0.890 0.890 0.610 Zr
0.390 0.390 0.110 Zr
0.110 0.110 0.390 Zr
0.750 0.750 0.250 Zr
0.610 0.610 0.890 Zr
0.500 0.500 0.500 Zn
0.000 0.000 0.000 Os


Entry 2:
PBE ZrZn2Os, relaxed; energy relative to the elements = -33 meV/atom; total moment = 0.00 Bohr magnetons per cell; uncorrected energy = -22.46 eV for the cell shown
1.0
4.449 0.000 0.000
0.000 2.757 -0.031
0.000 1.377 5.292
Os Zn Zr
1 2 1
direct
0.500 0.750 0.750 Os
0.000 0.925 0.979 Zn
0.000 0.575 0.521 Zn
0.500 0.250 0.250 Zr


Entry 3:
PBE Zr5Zn2Os, relaxed; energy relative to the elements = -235 meV/atom; total moment = 0.00 Bohr magnetons per cell; uncorrected energy = -116.79 eV for the cell shown
1.0
-2.265 2.278 -3.320
-4.165 -4.200 -0.040
-5.934 5.808 8.032
Zr Zn Os
10 4 2
direct
0.500 0.332 0.108 Zr
0.500 0.668 0.892 Zr
0.500 0.832 0.392 Zr
0.500 0.168 0.608 Zr
0.000 0.881 0.729 Zr
0.000 0.119 0.271 Zr
0.000 0.381 0.771 Zr
0.000 0.619 0.229 Zr
0.000 0.500 0.500 Zr
0.000 0.000 0.000 Zr
0.500 0.357 0.359 Zn
0.500 0.643 0.641 Zn
0.500 0.143 0.859 Zn
0.500 0.857 0.141 Zn
0.000 0.000 0.500 Os
0.000 0.500 0.000 Os


Entry 4:
PBE Zr2ZnOs, relaxed; energy relative to the elements = -156 meV/atom; total moment = 0.00 Bohr magnetons per cell; uncorrected energy = -30.22 eV for the cell shown
1.0
5.334 0.006 0.000
2.318 4.805 0.000
-3.826 -2.405 2.834
Os Zn Zr
1 1 2
direct
0.500 0.500 0.000 Os
0.750 0.250 0.500 Zn
0.000 0.000 0.000 Zr
0.250 0.750 0.500 Zr


Entry 5:
PBE ZrZn2Os, relaxed; energy relative to the elements = -91 meV/atom; total moment = 0.00 Bohr magnetons per cell; uncorrected energy = -22.69 eV for the cell shown
1.0
-3.200 -0.012 -0.529
-0.012 -3.241 0.145
-1.044 0.286 6.310
Os Zn Zr
1 2 1
direct
0.500 0.500 0.764 Os
0.000 0.000 0.996 Zn
0.500 0.500 0.209 Zn
0.000 0.000 0.531 Zr


Entry 6:
PBE Zr5ZnOs, relaxed; energy relative to the elements = -63 meV/atom; total moment = 0.00 Bohr magnetons per cell; uncorrected energy = -111.37 eV for the cell shown
1.0
-3.805 -2.903 3.002
-1.422 -2.674 -4.769
6.705 -6.286 1.872
Zr Zn Os
10 2 2
direct
0.028 0.623 0.163 Zr
0.234 0.443 0.502 Zr
0.623 0.028 0.663 Zr
0.851 0.149 0.250 Zr
0.557 0.766 0.998 Zr
0.443 0.234 0.002 Zr
0.149 0.851 0.750 Zr
0.377 0.972 0.337 Zr
0.766 0.557 0.498 Zr
0.972 0.377 0.837 Zr
0.496 0.504 0.250 Zn
0.504 0.496 0.750 Zn
0.000 0.000 0.000 Os
0.000 0.000 0.500 Os


Entry 7:
PBE ZrZn2Os, relaxed; energy relative to the elements = 67 meV/atom; total moment = 0.00 Bohr magnetons per cell; uncorrected energy = -22.06 eV for the cell shown
1.0
4.608 -0.027 0.000
-1.381 4.396 0.000
0.000 0.000 3.186
Os Zn Zr
1 2 1
direct
0.000 0.500 0.500 Os
0.000 0.000 0.000 Zn
0.500 0.500 0.000 Zn
0.500 0.000 0.500 Zr


Entry 8:
PBE Zr8Zn2Os, relaxed; energy relative to the elements = -127 meV/atom; total moment = 0.00 Bohr magnetons per cell; uncorrected energy = -83.56 eV for the cell shown
1.0
-4.557 1.129 1.042
1.024 -1.999 6.645
3.756 6.612 -1.836
Zr Zn Os
8 2 1
direct
0.403 0.568 0.807 Zr
0.664 0.924 0.328 Zr
0.819 0.747 0.638 Zr
0.975 0.218 0.951 Zr
0.181 0.253 0.362 Zr
0.336 0.076 0.672 Zr
0.597 0.432 0.193 Zr
0.025 0.782 0.049 Zr
0.812 0.341 0.625 Zn
0.188 0.659 0.375 Zn
0.500 0.000 0.000 Os


Entry 9:
PBE ZrZnOs2, relaxed; energy relative to the elements = 60 meV/atom; total moment = 0.00 Bohr magnetons per cell; uncorrected energy = -32.04 eV for the cell shown
1.0
5.022 0.002 0.000
1.992 4.610 0.000
-3.507 -2.306 2.757
Os Zn Zr
2 1 1
direct
0.000 0.000 0.000 Os
0.250 0.750 0.500 Os
0.500 0.500 0.000 Zn
0.750 0.250 0.500 Zr


Entry 10:
PBE ZrZnOs, relaxed; energy relative to the elements = -151 meV/atom; total moment = 0.00 Bohr magnetons per cell; uncorrected energy = -43.01 eV for the cell shown
1.0
3.251 0.000 0.000
0.000 5.322 0.000
-1.625 -2.661 6.069
Os Zn Zr
2 2 2
direct
0.870 0.370 0.740 Os
0.130 0.630 0.260 Os
0.500 0.762 0.000 Zn
0.500 0.238 0.000 Zn
0.192 0.192 0.384 Zr
0.808 0.808 0.616 Zr


Entry 11:
PBE ZrZn2Os, relaxed; energy relative to the elements = -93 meV/atom; total moment = 0.00 Bohr magnetons per cell; uncorrected energy = -22.70 eV for the cell shown
1.0
4.870 0.000 0.000
1.488 4.637 0.000
-3.179 -2.318 2.870
Os Zn Zr
1 2 1
direct
0.750 0.250 0.500 Os
0.000 0.000 0.000 Zn
0.250 0.750 0.500 Zn
0.500 0.500 0.000 Zr


Entry 12:
PBE Zr2ZnOs, relaxed; energy relative to the elements = 137 meV/atom; total moment = 0.00 Bohr magnetons per cell; uncorrected energy = -29.05 eV for the cell shown
1.0
9.123 0.010 0.006
8.578 3.104 0.006
8.578 1.509 2.712
Os Zn Zr
1 1 2
direct
0.497 0.497 0.497 Os
0.758 0.758 0.758 Zn
0.004 0.004 0.004 Zr
0.240 0.240 0.240 Zr


Q: The lowest uncorrected energy belongs to which entry?
A: Zr5Zn2Os


Please write out number 5 again, unchanged.
PBE ZrZn2Os, relaxed; energy relative to the elements = -91 meV/atom; total moment = 0.00 Bohr magnetons per cell; uncorrected energy = -22.69 eV for the cell shown
1.0
-3.200 -0.012 -0.529
-0.012 -3.241 0.145
-1.044 0.286 6.310
Os Zn Zr
1 2 1
direct
0.500 0.500 0.764 Os
0.000 0.000 0.996 Zn
0.500 0.500 0.209 Zn
0.000 0.000 0.531 Zr


Q: Which value of uncorrected energy does entry 10 give?
A: -43.01 eV for the cell shown


Q: Which formula does entry 6 have?
A: Zr5ZnOs